Record 1
# GGA-PBE Tl2Cd15Pb2, relaxed
# Formation enthalpy at 0 K ... 36 meV/atom
# Crystal system ... trigonal
# Density ... 8.5 g/cm³
data_Tl2Cd15Pb2
_chemical_formula_sum 'Tl6 Cd45 Pb6'
_space_group_name_H-M_alt 'R -3 m'
_space_group_IT_number 166
_space_group_name_Hall '-R 3 2"'
_cell_length_a 10.6933
_cell_length_b 10.6933
_cell_length_c 14.7835
_cell_angle_alpha 90.00
_cell_angle_beta 90.00
_cell_angle_gamma 120.00
loop_
_atom_site_label
_atom_site_fract_x
_atom_site_fract_y
_atom_site_fract_z
Tl1 0.0000 0.0000 0.1457
Cd1 0.0000 0.3041 0.5000
Cd2 0.0000 0.5000 0.0000
Cd3 0.0163 0.5081 0.6487
Pb1 0.0000 0.0000 0.3901

---

Record 2
# GGA-PBE In2MoPt9, relaxed
# Formation enthalpy at 0 K ... -361 meV/atom
# Crystal system ... tetragonal
# Density ... 17.7 g/cm³
data_In2MoPt9
_chemical_formula_sum 'In2 Mo1 Pt9'
_space_group_name_H-M_alt 'P 4/m m m'
_space_group_IT_number 123
_space_group_name_Hall '-P 4 2'
_cell_length_a 4.017
_cell_length_b 4.017
_cell_length_c 12.090
_cell_angle_alpha 90.00
_cell_angle_beta 90.00
_cell_angle_gamma 90.00
loop_
_atom_site_label
_atom_site_fract_x
_atom_site_fract_y
_atom_site_fract_z
In1 0.000 0.000 0.166
Mo1 0.000 0.000 0.500
Pt1 0.000 0.500 0.000
Pt2 0.000 0.500 0.343
Pt3 0.500 0.500 0.171
Pt4 0.500 0.500 0.500

---

Record 3
# GGA-PBE In2Au, relaxed
# Formation enthalpy at 0 K ... -234 meV/atom
# Crystal system ... cubic
# Density ... 9.4 g/cm³
data_In2Au
_chemical_formula_sum 'In8 Au4'
_space_group_name_H-M_alt 'F m -3 m'
_space_group_IT_number 225
_space_group_name_Hall '-F 4 2 3'
_cell_length_a 6.695
_cell_length_b 6.695
_cell_length_c 6.695
_cell_angle_alpha 90.00
_cell_angle_beta 90.00
_cell_angle_gamma 90.00
loop_
_atom_site_label
_atom_site_fract_x
_atom_site_fract_y
_atom_site_fract_z
In1 0.250 0.250 0.250
Au1 0.000 0.000 0.000

---

Record 4
# GGA-PBE LiAl2GaH, relaxed
# Calculated total energy ... -3.164 eV per atom
# Crystal system ... tetragonal
# Density ... 3.3 g/cm³
data_LiAl2GaH
_chemical_formula_sum 'Li1 Al2 Ga1 H1'
_space_group_name_H-M_alt 'P 4/m m m'
_space_group_IT_number 123
_space_group_name_Hall '-P 4 2'
_cell_length_a 4.132
_cell_length_b 4.132
_cell_length_c 3.914
_cell_angle_alpha 90.00
_cell_angle_beta 90.00
_cell_angle_gamma 90.00
loop_
_atom_site_label
_atom_site_fract_x
_atom_site_fract_y
_atom_site_fract_z
Li1 0.000 0.000 0.000
Al1 0.000 0.500 0.500
Ga1 0.500 0.500 0.000
H1 0.000 0.000 0.500

---

Record 5
# GGA-PBE BeZn2Ag, relaxed
# Formation enthalpy at 0 K ... 135 meV/atom
# Crystal system ... monoclinic
# Density ... 7.4 g/cm³
data_BeZn2Ag
_chemical_formula_sum 'Be1 Zn2 Ag1'
_space_group_name_H-M_alt 'P 1 m 1'
_space_group_IT_number 6
_cell_length_a 2.727
_cell_length_b 4.060
_cell_length_c 5.207
_cell_angle_alpha 90.00
_cell_angle_beta 104.38
_cell_angle_gamma 90.00
loop_
_space_group_symop_operation_xyz
'x,y,z'
'x,-y,z'
loop_
_atom_site_label
_atom_site_fract_x
_atom_site_fract_y
_atom_site_fract_z
Be1 0.000 0.000 0.000
Zn1 0.133 0.500 0.258
Zn2 0.741 0.000 0.473
Ag1 0.406 0.500 0.793

---

Record 6
# GGA-PBE ZnAgAs2, relaxed
# Formation enthalpy at 0 K ... 204 meV/atom
# Crystal system ... tetragonal
# Density ... 7.2 g/cm³
data_ZnAgAs2
_chemical_formula_sum 'Zn1 Ag1 As2'
_space_group_name_H-M_alt 'P 4 m m'
_space_group_IT_number 99
_cell_length_a 2.826
_cell_length_b 2.826
_cell_length_c 9.327
_cell_angle_alpha 90.00
_cell_angle_beta 90.00
_cell_angle_gamma 90.00
loop_
_space_group_symop_operation_xyz
'x,y,z'
'-y,x,z'
'-x,-y,z'
'y,-x,z'
'-x,y,z'
'y,x,z'
'x,-y,z'
'-y,-x,z'
loop_
_atom_site_label
_atom_site_fract_x
_atom_site_fract_y
_atom_site_fract_z
Zn1 0.000 0.000 0.000
Ag1 0.500 0.500 0.217
As1 0.000 0.000 0.460
As2 0.500 0.500 0.781

---

Record 7
# GGA-PBE CeInSe3, relaxed
# Distance to the lowest polymorph of the same formula ... 23 meV/atom
# Crystal system ... monoclinic
# Density ... 6.4 g/cm³
# Raw formation energy ... -1.102 eV/atom
data_CeInSe3
_chemical_formula_sum 'Ce4 In4 Se12'
_space_group_name_H-M_alt 'C 1 2/m 1'
_space_group_IT_number 12
_cell_length_a 15.144
_cell_length_b 4.070
_cell_length_c 8.283
_cell_angle_alpha 90.00
_cell_angle_beta 94.15
_cell_angle_gamma 90.00
loop_
_space_group_symop_operation_xyz
'x,y,z'
'-x,-y,-z'
'-x,y,-z'
'x,-y,z'
'x+1/2,y+1/2,z'
'-x+1/2,-y+1/2,-z'
'-x+1/2,y+1/2,-z'
'x+1/2,-y+1/2,z'
loop_
_atom_site_label
_atom_site_fract_x
_atom_site_fract_y
_atom_site_fract_z
Ce1 0.184 0.000 0.254
In1 0.054 0.000 0.842
Se1 0.049 0.500 0.328
Se2 0.169 0.500 0.982
Se3 0.184 0.000 0.625

---

Record 8
# GGA-PBE PaV2, relaxed
# Distance to the lowest polymorph of the same formula ... 235 meV/atom
# Formation enthalpy at 0 K ... 267 meV/atom
# Crystal system ... tetragonal
# Density ... 10.5 g/cm³
data_PaV2
_chemical_formula_sum 'Pa2 V4'
_space_group_name_H-M_alt 'I 4/m m m'
_space_group_IT_number 139
_space_group_name_Hall '-I 4 2'
_cell_length_a 3.075
_cell_length_b 3.075
_cell_length_c 11.184
_cell_angle_alpha 90.00
_cell_angle_beta 90.00
_cell_angle_gamma 90.00
loop_
_atom_site_label
_atom_site_fract_x
_atom_site_fract_y
_atom_site_fract_z
Pa1 0.000 0.000 0.000
V1 0.000 0.000 0.306

---

Record 9
# GGA-PBE K2La2Pb, relaxed
# Distance to the lowest polymorph of the same formula ... 0 meV/atom
# Formation enthalpy at 0 K ... 149 meV/atom
# Crystal system ... tetragonal
# Density ... 4.0 g/cm³
data_K2La2Pb
_chemical_formula_sum 'K4 La4 Pb2'
_space_group_name_H-M_alt 'P 4/m b m'
_space_group_IT_number 127
_space_group_name_Hall '-P 4 2ab'
_cell_length_a 8.247
_cell_length_b 8.247
_cell_length_c 6.858
_cell_angle_alpha 90.00
_cell_angle_beta 90.00
_cell_angle_gamma 90.00
loop_
_atom_site_label
_atom_site_fract_x
_atom_site_fract_y
_atom_site_fract_z
K1 0.191 0.309 0.000
La1 0.129 0.629 0.500
Pb1 0.000 0.000 0.500

---

Record 10
# GGA-PBE PrDy2Si2Pt7, relaxed
# Crystal system ... monoclinic
# Density ... 13.7 g/cm³
# Raw formation energy ... -1.048 eV/atom
data_PrDy2Si2Pt7
_chemical_formula_sum 'Pr2 Dy4 Si4 Pt14'
_space_group_name_H-M_alt 'C 1 2/m 1'
_space_group_IT_number 12
_cell_length_a 5.810
_cell_length_b 5.735
_cell_length_c 13.882
_cell_angle_alpha 90.00
_cell_angle_beta 98.81
_cell_angle_gamma 90.00
loop_
_space_group_symop_operation_xyz
'x,y,z'
'-x,-y,-z'
'-x,y,-z'
'x,-y,z'
'x+1/2,y+1/2,z'
'-x+1/2,-y+1/2,-z'
'-x+1/2,y+1/2,-z'
'x+1/2,-y+1/2,z'
loop_
_atom_site_label
_atom_site_fract_x
_atom_site_fract_y
_atom_site_fract_z
Pr1 0.000 0.000 0.000
Dy1 0.117 0.000 0.360
Si1 0.099 0.500 0.261
Pt1 0.000 0.500 0.000
Pt2 0.134 0.500 0.430
Pt3 0.186 0.251 0.831

---

Record 11
# GGA-PBE Zr3AlTc, relaxed
# Distance to the lowest polymorph of the same formula ... 0 meV/atom
# Formation enthalpy at 0 K ... 450 meV/atom
# Crystal system ... cubic
# Density ... 5.3 g/cm³
data_Zr3AlTc
_chemical_formula_sum 'Zr3 Al1 Tc1'
_space_group_name_H-M_alt 'P m -3 m'
_space_group_IT_number 221
_space_group_name_Hall '-P 4 2 3'
_cell_length_a 4.994
_cell_length_b 4.994
_cell_length_c 4.994
_cell_angle_alpha 90.00
_cell_angle_beta 90.00
_cell_angle_gamma 90.00
loop_
_atom_site_label
_atom_site_fract_x
_atom_site_fract_y
_atom_site_fract_z
Zr1 0.000 0.000 0.500
Al1 0.500 0.500 0.500
Tc1 0.000 0.000 0.000

---

Record 12
# GGA-PBE CdBiH, relaxed
# Distance to the lowest polymorph of the same formula ... 191 meV/atom
# Crystal system ... triclinic
# Density ... 7.1 g/cm³
data_CdBiH
_chemical_formula_sum 'Cd2 Bi2 H2'
_space_group_name_H-M_alt 'P 1'
_space_group_IT_number 1
_cell_length_a 4.854
_cell_length_b 4.989
_cell_length_c 6.909
_cell_angle_alpha 79.14
_cell_angle_beta 81.63
_cell_angle_gamma 66.74
loop_
_space_group_symop_operation_xyz
'x,y,z'
loop_
_atom_site_label
_atom_site_fract_x
_atom_site_fract_y
_atom_site_fract_z
Cd1 0.000 0.000 0.000
Cd2 0.351 0.376 0.078
Bi1 0.506 0.768 0.313
Bi2 0.844 0.608 0.765
H1 0.154 0.985 0.448
H2 0.194 0.390 0.629

---

| no. | density of states at the Fermi level (states/eV/cell) |
| --- | --- |
| 1 | 26.718 |
| 2 | 6.355 |
| 3 | 4.984 |
| 4 | 1.039 |
| 5 | 0.898 |
| 6 | 1.688 |
| 7 | 12.387 |
| 8 | 12.544 |
| 9 | 12.577 |
| 10 | 10.582 |
| 11 | 9.696 |
| 12 | 0.304 |